A plane-wave DFT calculation with PBE was carried out for crystalline PmPa2Co9 at its relaxed geometry.

Lattice parameters (Å, degrees): 8.678 8.678 8.678 32.79 32.79 32.79
Fractional positions:
1 Pm 0.000 0.000 0.000
2 Pa 0.138 0.138 0.138
3 Pa 0.862 0.862 0.862
4 Co 0.083 0.582 0.582
5 Co 0.333 0.333 0.333
6 Co 0.418 0.418 0.917
7 Co 0.418 0.917 0.418
8 Co 0.500 0.500 0.500
9 Co 0.582 0.083 0.582
10 Co 0.582 0.582 0.083
11 Co 0.667 0.667 0.667
12 Co 0.917 0.418 0.418

Values from the calculation:
Space-group type: R-3m (166)
Total DFT energy (no corrections), hartree per atom: -0.276
Crystal system: trigonal
DOS at the Fermi energy, states/eV/atom: 1.424
Formation enthalpy at 0 K, eV/atom: -0.2136